Here is an optimized crystal structure of HfAlCu from the Alexandria database. Energies are from PBE.

a = 5.2591 Å, b = 3.8962 Å, c = 5.2210 Å
α = 111.92°, β = 89.12°, γ = 90.01°
Fractional positions:
Hf  0.0589  0.5044  0.0853
Al  0.2903  0.7939  0.6641
Cu  0.7972  0.7973  0.6711
Cu  0.0406  0.2039  0.4840
Al  0.5733  0.3901  0.8567
Hf  0.5456  0.0953  0.2671

Output
DOS(E_F)	4.32	states/eV/cell
symmetry	Cm, No. 8
total energy	-6.2125	eV per atom